Record 1
Entry from Alexandria via LeMat-Bulk: a relaxed structure of K2LiAs2 (PBE-GGA).

Volume in Å³/cell: 289.4
Energy of formation in eV/atom: -0.3974
Distance to the lowest polymorph of the same formula in meV/atom: 0
SG: C2/c, No. 15

Unit cell a=6.116 b=6.116 c=8.522 alpha=96.96 beta=96.96 gamma=66.59
Fractional positions:
K 0.011 0.288 0.145
K 0.288 0.011 0.645
K 0.712 0.989 0.355
K 0.989 0.712 0.855
Li 0.445 0.555 0.250
Li 0.555 0.445 0.750
As 0.195 0.513 0.492
As 0.487 0.805 0.008
As 0.513 0.195 0.992
As 0.805 0.487 0.508

Record 2
Entry from Alexandria via LeMat-Bulk: a relaxed structure of LiRuPb2 (PBE-GGA).

Volume in Å³/cell: 84.5
Energy of formation in eV/atom: 0.1998
Distance to the lowest polymorph of the same formula in meV/atom: 93
SG: C2/m, No. 12

Unit cell a=4.710 b=4.710 c=5.785 alpha=100.66 beta=100.66 gamma=42.20
Fractional positions:
Li 0.000 0.000 0.000
Ru 0.500 0.500 0.500
Pb 0.240 0.240 0.734
Pb 0.760 0.760 0.266

Record 3
Entry from Alexandria via LeMat-Bulk: a relaxed structure of CaPuFeN3 (PBE-GGA).

Volume in Å³/cell: 177.2
Uncorrected energy in eV per cell: -109.0
SG: P2_1/m, No. 11

Unit cell a=6.943 b=3.401 c=7.566 alpha=90.00 beta=97.25 gamma=90.00
Fractional positions:
Ca 0.158 0.250 0.173
Ca 0.842 0.750 0.827
Pu 0.357 0.750 0.829
Pu 0.643 0.250 0.171
Fe 0.071 0.250 0.597
Fe 0.929 0.750 0.403
N 0.132 0.250 0.847
N 0.166 0.750 0.542
N 0.420 0.750 0.129
N 0.580 0.250 0.871
N 0.834 0.250 0.458
N 0.868 0.750 0.153

Record 4
Entry from Alexandria via LeMat-Bulk: a relaxed structure of YMn2Al (PBE-GGA).

Volume in Å³/cell: 71.3
Energy of formation in eV/atom: 0.1544
SG: Imm2, No. 44

Unit cell a=5.629 b=5.629 c=5.629 alpha=147.37 beta=131.61 gamma=59.59
Fractional positions:
Y 0.000 0.000 0.000
Mn 0.275 0.775 0.500
Mn 0.507 0.507 0.000
Al 0.724 0.224 0.500

Record 5
Entry from Alexandria via LeMat-Bulk: a relaxed structure of CaFeNiAs2 (PBE-GGA).

Volume in Å³/cell: 84.9
Energy of formation in eV/atom: -0.5871
SG: I-4m2, No. 119

Unit cell a=5.934 b=5.934 c=5.934 alpha=140.20 beta=140.20 gamma=57.54
Fractional positions:
Ca 0.000 0.000 0.000
Fe 0.750 0.250 0.500
Ni 0.250 0.750 0.500
As 0.367 0.367 0.000
As 0.633 0.633 0.000

Record 6
Entry from Alexandria via LeMat-Bulk: a relaxed structure of Ba2InGa3 (PBE-GGA).

Volume in Å³/cell: 377.5
Energy of formation in eV/atom: -0.4496
SG: Fmmm, No. 69

Unit cell a=9.482 b=9.165 c=6.923 alpha=70.67 beta=65.78 gamma=43.55
Fractional positions:
Ba 0.250 0.250 0.250
Ba 0.250 0.750 0.250
Ba 0.750 0.250 0.750
Ba 0.750 0.750 0.750
In 0.167 0.167 0.833
In 0.833 0.833 0.167
Ga 0.178 0.661 0.822
Ga 0.339 0.339 0.661
Ga 0.339 0.822 0.661
Ga 0.661 0.178 0.339
Ga 0.661 0.661 0.339
Ga 0.822 0.339 0.178

Record 7
Entry from Alexandria via LeMat-Bulk: a relaxed structure of CrN2 (PBE-GGA).

Volume in Å³/cell: 29.8
Uncorrected energy in eV per cell: -25.1
SG: P4mm, No. 99

Unit cell a=2.742 b=2.742 c=3.960 alpha=90.00 beta=90.00 gamma=90.00
Fractional positions:
Cr 0.000 0.000 0.000
N 0.000 0.000 0.402
N 0.500 0.500 0.909

Record 8
Entry from Alexandria via LeMat-Bulk: a relaxed structure of CdSn2Ru (PBE-GGA).

Volume in Å³/cell: 81.3
Energy of formation in eV/atom: 0.3140
Distance to the lowest polymorph of the same formula in meV/atom: 250
SG: Fm-3m, No. 225

Unit cell a=4.862 b=4.862 c=4.862 alpha=60.00 beta=60.00 gamma=60.00
Fractional positions:
Cd 0.000 0.000 0.000
Sn 0.250 0.250 0.250
Sn 0.750 0.750 0.750
Ru 0.500 0.500 0.500